Record 1
An optimized crystal structure of Ho3InH, computed with PBE-GGA.

CIF file:
```
data_Ho3InH
_cell_length_a 4.819
_cell_length_b 4.819
_cell_length_c 4.819
_cell_angle_alpha 90.00
_cell_angle_beta 90.00
_cell_angle_gamma 90.00
_symmetry_space_group_name_H-M 'P 1'
_symmetry_Int_Tables_number 1
loop_
_symmetry_equiv_pos_as_xyz
'x,y,z'
loop_
_atom_site_label
_atom_site_type_symbol
_atom_site_fract_x
_atom_site_fract_y
_atom_site_fract_z
In1 In 0.500 0.500 0.500
Ho1 Ho 0.500 0.000 0.000
Ho2 Ho 0.000 0.500 0.000
Ho3 Ho 0.000 0.000 0.500
H1 H 0.000 0.000 0.000
```

Summary:
total magnetic moment = 1.411 μB/cell
total energy = -4.319 eV per atom
energy above the most stable polymorph in this dataset = 0.0000 eV per atom
DOS(E_F) = 4.46 states/eV/f.u.
symmetry = No. 221

---

Record 2
An optimized crystal structure of Ho5In4H, computed with PBE-GGA.

CIF file:
```
data_Ho5In4H
_cell_length_a 4.874
_cell_length_b 7.478
_cell_length_c 7.478
_cell_angle_alpha 83.90
_cell_angle_beta 70.98
_cell_angle_gamma 70.98
_symmetry_space_group_name_H-M 'P 1'
_symmetry_Int_Tables_number 1
loop_
_symmetry_equiv_pos_as_xyz
'x,y,z'
loop_
_atom_site_label
_atom_site_type_symbol
_atom_site_fract_x
_atom_site_fract_y
_atom_site_fract_z
In1 In 0.501 0.326 0.674
In2 In 0.501 0.674 0.326
In3 In 0.827 0.674 0.674
In4 In 0.175 0.326 0.326
Ho1 Ho 0.831 0.339 0.000
Ho2 Ho 0.501 0.000 0.000
Ho3 Ho 0.171 0.000 0.661
Ho4 Ho 0.831 0.000 0.339
Ho5 Ho 0.171 0.661 0.000
H1 H 0.000 0.000 0.000
```

Summary:
total magnetic moment = 0.000 μB/cell
total energy = -3.996 eV per atom
DOS(E_F) = 9.08 states/eV/f.u.
symmetry = No. 139

---

Record 3
An optimized crystal structure of HoH2Ir, computed with PBE-GGA.

CIF file:
```
data_HoH2Ir
_cell_length_a 3.942
_cell_length_b 3.942
_cell_length_c 4.439
_cell_angle_alpha 63.64
_cell_angle_beta 63.64
_cell_angle_gamma 60.00
_symmetry_space_group_name_H-M 'P 1'
_symmetry_Int_Tables_number 1
loop_
_symmetry_equiv_pos_as_xyz
'x,y,z'
loop_
_atom_site_label
_atom_site_type_symbol
_atom_site_fract_x
_atom_site_fract_y
_atom_site_fract_z
Ir1 Ir 0.000 0.000 0.000
Ho1 Ho 0.500 0.500 0.500
H1 H 0.147 0.147 0.560
H2 H 0.853 0.853 0.440
```

Summary:
total magnetic moment = 0.000 μB/cell
total energy = -5.513 eV per atom
DOS(E_F) = 0.07 states/eV/f.u.
symmetry = No. 166

---

Record 4
An optimized crystal structure of Ho4HIr2, computed with PBE-GGA.

CIF file:
```
data_Ho4HIr2
_cell_length_a 4.511
_cell_length_b 4.511
_cell_length_c 7.914
_cell_angle_alpha 73.44
_cell_angle_beta 73.44
_cell_angle_gamma 90.00
_symmetry_space_group_name_H-M 'P 1'
_symmetry_Int_Tables_number 1
loop_
_symmetry_equiv_pos_as_xyz
'x,y,z'
loop_
_atom_site_label
_atom_site_type_symbol
_atom_site_fract_x
_atom_site_fract_y
_atom_site_fract_z
Ho1 Ho 0.000 0.500 0.000
Ho2 Ho 0.500 0.000 0.000
Ho3 Ho 0.813 0.813 0.373
Ho4 Ho 0.187 0.187 0.627
Ir1 Ir 0.627 0.627 0.746
Ir2 Ir 0.373 0.373 0.254
H1 H 0.000 0.000 0.000
```

Summary:
total magnetic moment = 0.000 μB/cell
total energy = -6.242 eV per atom
DOS(E_F) = 4.79 states/eV/f.u.
symmetry = No. 139

---

Record 5
An optimized crystal structure of Ho2H2Ir, computed with PBE-GGA.

CIF file:
```
data_Ho2H2Ir
_cell_length_a 3.330
_cell_length_b 3.330
_cell_length_c 6.739
_cell_angle_alpha 90.00
_cell_angle_beta 90.00
_cell_angle_gamma 90.00
_symmetry_space_group_name_H-M 'P 1'
_symmetry_Int_Tables_number 1
loop_
_symmetry_equiv_pos_as_xyz
'x,y,z'
loop_
_atom_site_label
_atom_site_type_symbol
_atom_site_fract_x
_atom_site_fract_y
_atom_site_fract_z
Ir1 Ir 0.000 0.000 0.000
Ho1 Ho 0.500 0.500 0.261
Ho2 Ho 0.500 0.500 0.739
H1 H 0.500 0.000 0.500
H2 H 0.000 0.500 0.500
```

Summary:
total magnetic moment = 0.000 μB/cell
total energy = -5.571 eV per atom
DOS(E_F) = 1.64 states/eV/f.u.
symmetry = No. 123

---

Record 6
An optimized crystal structure of HoHIr, computed with PBE-GGA.

CIF file:
```
data_HoHIr
_cell_length_a 3.483
_cell_length_b 3.898
_cell_length_c 3.898
_cell_angle_alpha 120.00
_cell_angle_beta 90.00
_cell_angle_gamma 90.00
_symmetry_space_group_name_H-M 'P 1'
_symmetry_Int_Tables_number 1
loop_
_symmetry_equiv_pos_as_xyz
'x,y,z'
loop_
_atom_site_label
_atom_site_type_symbol
_atom_site_fract_x
_atom_site_fract_y
_atom_site_fract_z
Ho1 Ho 0.667 0.333 0.667
H1 H 0.167 0.667 0.333
Ir1 Ir 0.167 0.000 0.000
```

Summary:
total magnetic moment = 0.000 μB/cell
total energy = -5.904 eV per atom
energy above the most stable polymorph in this dataset = 0.1495 eV per atom
DOS(E_F) = 1.31 states/eV/f.u.
symmetry = No. 187

---

Record 7
An optimized crystal structure of HoH6Ir, computed with PBE-GGA.

CIF file:
```
data_HoH6Ir
_cell_length_a 4.412
_cell_length_b 4.412
_cell_length_c 4.616
_cell_angle_alpha 61.46
_cell_angle_beta 61.46
_cell_angle_gamma 60.00
_symmetry_space_group_name_H-M 'P 1'
_symmetry_Int_Tables_number 1
loop_
_symmetry_equiv_pos_as_xyz
'x,y,z'
loop_
_atom_site_label
_atom_site_type_symbol
_atom_site_fract_x
_atom_site_fract_y
_atom_site_fract_z
H1 H 0.102 0.102 0.238
H2 H 0.102 0.558 0.238
H3 H 0.442 0.898 0.762
H4 H 0.558 0.102 0.238
H5 H 0.898 0.898 0.762
H6 H 0.898 0.442 0.762
Ho1 Ho 0.500 0.500 0.500
Ir1 Ir 0.000 0.000 0.000
```

Summary:
total magnetic moment = 0.000 μB/cell
total energy = -4.636 eV per atom
DOS(E_F) = 0.00 states/eV/f.u.
symmetry = No. 166

---

Record 8
An optimized crystal structure of Ho2HIr, computed with PBE-GGA.

CIF file:
```
data_Ho2HIr
_cell_length_a 4.129
_cell_length_b 4.129
_cell_length_c 7.448
_cell_angle_alpha 73.91
_cell_angle_beta 73.91
_cell_angle_gamma 60.00
_symmetry_space_group_name_H-M 'P 1'
_symmetry_Int_Tables_number 1
loop_
_symmetry_equiv_pos_as_xyz
'x,y,z'
loop_
_atom_site_label
_atom_site_type_symbol
_atom_site_fract_x
_atom_site_fract_y
_atom_site_fract_z
Ir1 Ir 0.500 0.500 0.500
Ho1 Ho 0.899 0.899 0.303
Ho2 Ho 0.101 0.101 0.697
H1 H 0.000 0.000 0.000
```

Summary:
total magnetic moment = 0.000 μB/cell
total energy = -5.816 eV per atom
DOS(E_F) = 1.33 states/eV/f.u.
symmetry = No. 166

---

Record 9
An optimized crystal structure of HoHIr, computed with PBE-GGA.

CIF file:
```
data_HoHIr
_cell_length_a 3.799
_cell_length_b 3.813
_cell_length_c 6.928
_cell_angle_alpha 87.26
_cell_angle_beta 90.00
_cell_angle_gamma 90.00
_symmetry_space_group_name_H-M 'P 1'
_symmetry_Int_Tables_number 1
loop_
_symmetry_equiv_pos_as_xyz
'x,y,z'
loop_
_atom_site_label
_atom_site_type_symbol
_atom_site_fract_x
_atom_site_fract_y
_atom_site_fract_z
H1 H 0.750 0.248 0.998
H2 H 0.250 0.752 0.002
Ho1 Ho 0.250 0.231 0.195
Ho2 Ho 0.750 0.769 0.805
Ir1 Ir 0.750 0.267 0.496
Ir2 Ir 0.250 0.733 0.504
```

Summary:
total magnetic moment = 0.000 μB/cell
total energy = -6.053 eV per atom
energy above the most stable polymorph in this dataset = 0.0000 eV per atom
DOS(E_F) = 2.29 states/eV/f.u.
symmetry = No. 11

---

Record 10
An optimized crystal structure of LiHoH8Ir2, computed with PBE-GGA.

CIF file:
```
data_LiHoH8Ir2
_cell_length_a 4.329
_cell_length_b 4.529
_cell_length_c 6.066
_cell_angle_alpha 67.43
_cell_angle_beta 69.09
_cell_angle_gamma 61.45
_symmetry_space_group_name_H-M 'P 1'
_symmetry_Int_Tables_number 1
loop_
_symmetry_equiv_pos_as_xyz
'x,y,z'
loop_
_atom_site_label
_atom_site_type_symbol
_atom_site_fract_x
_atom_site_fract_y
_atom_site_fract_z
H1 H 0.079 0.015 0.314
H2 H 0.592 0.015 0.314
H3 H 0.921 0.985 0.686
H4 H 0.937 0.450 0.677
H5 H 0.254 0.603 0.889
H6 H 0.746 0.397 0.111
H7 H 0.408 0.985 0.686
H8 H 0.063 0.550 0.323
Ir1 Ir 0.290 0.273 0.146
Ir2 Ir 0.710 0.727 0.854
Ho1 Ho 0.500 0.500 0.500
Li1 Li 0.000 0.000 0.000
```

Summary:
total magnetic moment = 0.000 μB/cell
total energy = -4.564 eV per atom
DOS(E_F) = 0.55 states/eV/f.u.
symmetry = No. 12

---

Record 11
An optimized crystal structure of HoMgH6Ir2, computed with PBE-GGA.

CIF file:
```
data_HoMgH6Ir2
_cell_length_a 4.563
_cell_length_b 4.563
_cell_length_c 5.789
_cell_angle_alpha 66.79
_cell_angle_beta 66.79
_cell_angle_gamma 60.00
_symmetry_space_group_name_H-M 'P 1'
_symmetry_Int_Tables_number 1
loop_
_symmetry_equiv_pos_as_xyz
'x,y,z'
loop_
_atom_site_label
_atom_site_type_symbol
_atom_site_fract_x
_atom_site_fract_y
_atom_site_fract_z
Ir1 Ir 0.210 0.210 0.370
Ir2 Ir 0.790 0.790 0.630
H1 H 0.560 0.560 0.825
H2 H 0.055 0.560 0.825
H3 H 0.440 0.945 0.175
H4 H 0.560 0.055 0.825
H5 H 0.440 0.440 0.175
H6 H 0.945 0.440 0.175
Mg1 Mg 0.500 0.500 0.500
Ho1 Ho 0.000 0.000 0.000
```

Summary:
total magnetic moment = 0.000 μB/cell
total energy = -4.801 eV per atom
DOS(E_F) = 2.55 states/eV/f.u.
symmetry = No. 166

---

- Which of these has the lowest total energy?
  Ho4HIr2